A geometry-optimized Er2TaAg structure. Source: Alexandria via LeMat-Bulk, functional PBE.

**Calculated formation energy**: 0.037 eV per atom
**Calculated total energy**: -5.92 eV per atom

abc: 3.2941 3.2941 8.4999
angles: 90.00 90.00 90.00
Closest atoms and distances in Å follow each position.
Space group P4/mmm (No. 123)
Symmetry-distinct sites (fractional):
Er 0.0000 0.0000 0.2472  4 Ag 3.14, 4 Ta 3.17, 4 Er 3.29
Ta 0.5000 0.5000 0.5000  8 Er 3.17, 4 Ta 3.29
Ag 0.5000 0.5000 0.0000  8 Er 3.14, 4 Ag 3.29